# GGA-PBE V2C, optimized geometry
data_V2C
_cell_length_a 2.941
_cell_length_b 2.941
_cell_length_c 9.333
_cell_angle_alpha 90.00
_cell_angle_beta 90.00
_cell_angle_gamma 120.00
_space_group_name_H-M_alt 'P 1'
_space_group_IT_number 1
_space_group_name_Hall 'P 1'
loop_
_atom_site_label
_atom_site_type_symbol
_atom_site_fract_x
_atom_site_fract_y
_atom_site_fract_z
V1 V 0.333 0.667 0.117
V2 V 0.333 0.667 0.383
V3 V 0.667 0.333 0.617
V4 V 0.667 0.333 0.883
C1 C 0.000 0.000 0.000
C2 C 0.000 0.000 0.500
# Uncorrected energy, eV/cell: -56.0
# Space group: P6_3/mmc
# Energy of formation, kJ/mol of atoms: -16.5

---

# GGA-PBE VW3C, optimized geometry
data_VW3C
_cell_length_a 4.145
_cell_length_b 4.145
_cell_length_c 4.145
_cell_angle_alpha 90.00
_cell_angle_beta 90.00
_cell_angle_gamma 90.00
_space_group_name_H-M_alt 'P 1'
_space_group_IT_number 1
_space_group_name_Hall 'P 1'
loop_
_atom_site_label
_atom_site_type_symbol
_atom_site_fract_x
_atom_site_fract_y
_atom_site_fract_z
V1 V 0.000 0.000 0.000
W1 W 0.000 0.500 0.500
W2 W 0.500 0.000 0.500
W3 W 0.500 0.500 0.000
C1 C 0.500 0.500 0.500
# Offset from the most stable computed form, eV per atom: 0.000
# Uncorrected energy, eV/cell: -56.1
# Space group: Pm-3m
# Energy of formation, kJ/mol of atoms: 22.0

---

# GGA-PBE V2WC, optimized geometry
data_V2WC
_cell_length_a 5.319
_cell_length_b 5.319
_cell_length_c 5.319
_cell_angle_alpha 99.60
_cell_angle_beta 99.60
_cell_angle_gamma 131.79
_space_group_name_H-M_alt 'P 1'
_space_group_IT_number 1
_space_group_name_Hall 'P 1'
loop_
_atom_site_label
_atom_site_type_symbol
_atom_site_fract_x
_atom_site_fract_y
_atom_site_fract_z
V1 V 0.015 0.625 0.890
V2 V 0.375 0.265 0.390
V3 V 0.735 0.125 0.110
V4 V 0.875 0.985 0.610
W1 W 0.250 0.750 0.500
W2 W 0.500 0.500 0.000
C1 C 0.000 0.000 0.000
C2 C 0.750 0.250 0.500
# Uncorrected energy, eV/cell: -79.8
# Space group: I-42d
# Energy of formation, kJ/mol of atoms: 12.7

---

# GGA-PBE VW2C, optimized geometry
data_VW2C
_cell_length_a 5.506
_cell_length_b 5.506
_cell_length_c 5.506
_cell_angle_alpha 98.76
_cell_angle_beta 98.76
_cell_angle_gamma 134.06
_space_group_name_H-M_alt 'P 1'
_space_group_IT_number 1
_space_group_name_Hall 'P 1'
loop_
_atom_site_label
_atom_site_type_symbol
_atom_site_fract_x
_atom_site_fract_y
_atom_site_fract_z
V1 V 0.000 0.000 0.000
V2 V 0.750 0.250 0.500
W1 W 0.241 0.625 0.116
W2 W 0.375 0.491 0.616
W3 W 0.509 0.125 0.884
W4 W 0.875 0.759 0.384
C1 C 0.250 0.750 0.500
C2 C 0.500 0.500 0.000
# Uncorrected energy, eV/cell: -86.7
# Space group: I-42d
# Energy of formation, kJ/mol of atoms: 21.8

---

What are the magnetic moment values for these records? In order: 0.77 0.00 0.00 0.00 μB per formula unit.